No. 1
Below is an optimized crystal structure of LiCu2Cl, with properties calculated at the PBE level.

For the mass density, the calculation gives 3.8 g/cm³. As for the formation energy (no corrections): -0.345 eV per atom. The energy is -0.2450 Ry per atom. As for the energy above the most stable polymorph in this dataset: 103 meV/atom. For the calculated volume, the calculation gives 18.29 Å³/atom.

The structure in extended XYZ format:
```
4
Lattice="3.3790 0.0000 0.0000 0.0000 6.3862 0.0000 -0.0034 0.0000 3.3899" Properties=species:S:1:pos:R:3 pbc="T T T"
Li 0.0000 0.0000 0.0000
Cu 0.8439 3.1931 0.8474
Cu 2.5317 3.1931 2.5425
Cl 1.6878 0.0000 1.6949
```

=====

No. 2
Below is an optimized crystal structure of ZrH2F4, with properties calculated at the PBE level.

For the mass density, the calculation gives 2.8 g/cm³. The energy is -0.4249 Ry per atom. For the calculated volume, the calculation gives 14.34 Å³/atom.

The structure in extended XYZ format:
```
7
Lattice="3.6111 0.0000 0.0000 -0.0012 3.6115 0.0000 -1.1529 -1.2116 7.6950" Properties=species:S:1:pos:R:3 pbc="T T T"
Zr 0.0000 0.0000 0.0000
H -0.3146 2.7385 3.8373
H 2.7717 -0.3386 3.8576
F 0.0025 1.8063 1.1765
F 0.6517 2.3957 6.5184
F 1.8054 0.0042 1.1766
F 2.4546 0.5937 6.5184
```

=====

No. 3
Below is an optimized crystal structure of K3Na2Au4, with properties calculated at the PBE level.

For the mass density, the calculation gives 5.6 g/cm³. The energy is -0.1758 Ry per atom. Its formation enthalpy at 0 K is -0.276 eV per atom. For the calculated volume, the calculation gives 31.47 Å³/atom.

The structure in extended XYZ format:
```
9
Lattice="5.9673 -2.3379 0.0000 5.9673 2.3379 0.0000 -0.9861 0.0000 10.1492" Properties=species:S:1:pos:R:3 pbc="T T T"
K 0.0000 0.0000 0.0000
K 3.8201 0.0000 6.3007
K 7.1285 0.0000 3.8485
Na 3.6934 0.0000 2.2106
Na 7.2552 0.0000 7.9386
Au 0.3462 0.0000 6.2543
Au 2.4547 0.0000 9.3989
Au 8.4939 0.0000 0.7503
Au 10.6024 0.0000 3.8949
```